A plane-wave DFT calculation with PBE-GGA was carried out for crystalline LiTi3V at its relaxed geometry.

abc: 4.6236 4.6236 4.6236
angles: 90.00 90.00 90.00
Space group Pm-3m (No. 221)
Symmetry-distinct sites (fractional):
Li: 0.0000 0.0000 0.0000 x1
Ti: 0.0000 0.5000 0.5000 x3
V: 0.5000 0.5000 0.5000 x1

- Spin magnetization: 0.00 μB per cell
- Energy: -6.208 eV per atom